VASP calculation (PBE-GGA) on a relaxed structure of AcFeBi.

Summary:
ΔH_f (0 K) in eV/atom: 0.111
M_tot in μB per formula unit: 2.97

Lattice parameters (Å, degrees): 6.554 6.697 17.232 90.00 90.00 90.00
Space group Fmmm (No. 69)
Asymmetric unit:
Ac 0.000 0.000 0.170 [8 per cell]
Fe 0.176 0.000 0.000 [8 per cell]
Bi 0.000 0.000 0.383 [8 per cell]

***

VASP calculation (PBE-GGA) on a relaxed structure of Nb2Ga2Pd.

Summary:
ΔH_f (0 K) in eV/atom: 0.011
M_tot in μB per formula unit: 0.00

Lattice parameters (Å, degrees): 7.764 7.764 2.949 90.00 90.00 90.00
Space group P4/mbm (No. 127)
Asymmetric unit:
Nb 0.121 0.379 0.000 [4 per cell]
Ga 0.179 0.679 0.500 [4 per cell]
Pd 0.000 0.000 0.000 [2 per cell]

***

VASP calculation (PBE-GGA) on a relaxed structure of NiPd3C.

Summary:
ΔH_f (0 K) in eV/atom: 0.410
M_tot in μB per formula unit: 0.57

Lattice parameters (Å, degrees): 4.093 4.093 4.093 90.00 90.00 90.00
Space group Pm-3m (No. 221)
Asymmetric unit:
Ni 0.000 0.000 0.000 [1 per cell]
Pd 0.000 0.500 0.500 [3 per cell]
C 0.500 0.500 0.500 [1 per cell]

***

VASP calculation (PBE-GGA) on a relaxed structure of Ce2Ho3Er8.

Summary:
ΔH_f (0 K) in eV/atom: 0.278
M_tot in μB per formula unit: 2.27

Lattice parameters (Å, degrees): 14.586 9.071 6.742 90.00 108.44 90.00
Space group C2/m (No. 12)
Asymmetric unit:
Ce 0.216 0.000 0.415 [4 per cell]
Ho 0.000 0.000 0.000 [2 per cell]
Ho 0.000 0.173 0.500 [4 per cell]
Er 0.082 0.500 0.728 [4 per cell]
Er 0.118 0.317 0.176 [8 per cell]
Er 0.191 0.000 0.889 [4 per cell]

***

VASP calculation (PBE-GGA) on a relaxed structure of K2Zr2In.

Summary:
ΔH_f (0 K) in eV/atom: 0.979
M_tot in μB per formula unit: 1.12

Lattice parameters (Å, degrees): 10.878 10.878 3.193 90.00 90.00 90.00
Space group P4/mbm (No. 127)
Asymmetric unit:
K 0.206 0.294 0.000 [4 per cell]
Zr 0.084 0.584 0.500 [4 per cell]
In 0.000 0.000 0.500 [2 per cell]

***

VASP calculation (PBE-GGA) on a relaxed structure of YHo4Pu3S8.

Summary:
E_form (uncorrected) in eV per atom: -1.93
M_tot in μB per formula unit: 17.23

Lattice parameters (Å, degrees): 7.8112 7.8112 19.2573 90.00 90.00 120.00
Space group R-3m (No. 166, hexagonal axes)
Asymmetric unit:
Y 0.0000 0.0000 0.0000 [3 per cell]
Ho 0.0000 0.0000 0.5000 [3 per cell]
Ho 0.0000 0.5000 0.5000 [9 per cell]
Pu 0.0000 0.5000 0.0000 [9 per cell]
S 0.0000 0.0000 0.2483 [6 per cell]
S 0.0012 0.5006 0.7516 [18 per cell]

***

VASP calculation (PBE-GGA) on a relaxed structure of Pr3TmSe4.

Summary:
E_form (uncorrected) in eV per atom: -1.79
M_tot in μB per formula unit: 0.00

Lattice parameters (Å, degrees): 8.567 11.907 4.130 90.00 90.00 90.00
Space group Cmmm (No. 65)
Asymmetric unit:
Pr 0.000 0.000 0.000 [2 per cell]
Pr 0.250 0.250 0.500 [4 per cell]
Tm 0.000 0.500 0.000 [2 per cell]
Se 0.000 0.259 0.000 [4 per cell]
Se 0.234 0.500 0.500 [4 per cell]

***

VASP calculation (PBE-GGA) on a relaxed structure of CaCeNdTm.

Summary:
ΔH_f (0 K) in eV/atom: 0.242
M_tot in μB per formula unit: 2.14

Lattice parameters (Å, degrees): 8.187 8.187 8.187 90.00 90.00 90.00
Space group F-43m (No. 216)
Asymmetric unit:
Ca 0.000 0.000 0.000 [4 per cell]
Ce 0.000 0.000 0.500 [4 per cell]
Nd 0.250 0.250 0.250 [4 per cell]
Tm 0.250 0.250 0.750 [4 per cell]

***

Volume values, unit Å³ per cell, following the record order: 756; 178; 69; 846; 378; 1018; 421; 549.
Density values, unit Mg/m³, following the record order: 8.6; 8.1; 9.4; 8.3; 3.3; 8.5; 7.2; 6.0.